# LaCo2Cl

A geometry-optimized LaCo2Cl structure (PBE, Alexandria via LeMat-Bulk).

**DOS at the Fermi energy**: 4.620 states/eV/f.u.
**Distance to the lowest polymorph of the same formula**: 0.395 eV per atom
**Calculated total energy**: -5.24 eV/atom
**E_form (uncorrected)**: 0.01 eV/atom

Unit cell a=6.0582 b=6.0582 c=6.0582 alpha=146.53 beta=139.55 gamma=53.48
Closest atoms and distances in Å follow each position.
Sites, in units of the cell vectors:
Co 0.5024 0.5024 0.0000  4 Co 2.73
Cl 0.2500 0.7500 0.5000  4 La 2.73
La 0.7500 0.2500 0.5000  4 Cl 2.73
Co 0.9976 0.9976 0.0000  4 Co 2.73



# La9Co2Cl14

A geometry-optimized La9Co2Cl14 structure (PBE, Alexandria via LeMat-Bulk).

**DOS at the Fermi energy**: 12.997 states/eV/f.u.
**Calculated total energy**: -5.13 eV/atom
**E_form (uncorrected)**: -1.76 eV/atom

Unit cell a=8.5452 b=8.5452 c=11.6932 alpha=90.00 beta=90.00 gamma=120.00
Closest atoms and distances in Å follow each position.
Sites, in units of the cell vectors:
La 0.9164 0.6248 0.6635  1 Co 2.50
La 0.6248 0.7084 0.3365  1 Co 2.50
La 0.3752 0.2916 0.6635  1 Co 2.50
Cl 0.9602 0.3108 0.0872  4 La 3.02-3.15
La 0.0836 0.3752 0.3365  1 Co 2.50
Cl 0.6072 0.6831 0.5948  4 La 3.02-3.19
Co 0.3333 0.6667 0.2595  4 La 2.49-2.50
Cl 0.6892 0.6494 0.0872  4 La 3.02-3.15
Cl 0.9241 0.6072 0.4052  4 La 3.02-3.19
Cl 0.3506 0.0398 0.0872  4 La 3.02-3.15
La 0.3333 0.6667 0.0466  1 Co 2.49
Cl 0.3928 0.3169 0.4052  4 La 3.02-3.19
Cl 0.6494 0.9602 0.9128  4 La 3.02-3.15
Cl 0.0759 0.3928 0.5948  4 La 3.02-3.19
Cl 0.0000 0.0000 0.2512  4 La 2.94-3.08
La 0.0000 0.0000 0.0000  8 Cl 2.94-3.02
Co 0.6667 0.3333 0.7405  4 La 2.49-2.50
La 0.6667 0.3333 0.9534  1 Co 2.49
Cl 0.3169 0.9241 0.5948  4 La 3.02-3.19
Cl 0.6831 0.0759 0.4052  4 La 3.02-3.19
Cl 0.0000 0.0000 0.7488  4 La 2.94-3.08
La 0.7084 0.0836 0.6635  1 Co 2.50
La 0.2916 0.9164 0.3365  1 Co 2.50
Cl 0.0398 0.6892 0.9128  4 La 3.02-3.15
Cl 0.3108 0.3506 0.9128  4 La 3.02-3.15



Number 2 is which compound? La9Co2Cl14



The lowest E_form (uncorrected) belongs to which entry? La9Co2Cl14



The highest E_form (uncorrected) belongs to which entry? LaCo2Cl



Which formula does entry 2 have? La9Co2Cl14